This record from Alexandria via LeMat-Bulk describes a relaxed Cu7Pt5 crystal. The functional is PBE.

a = 3.833 Å, b = 5.335 Å, c = 8.001 Å
α = 88.74°, β = 90.00°, γ = 90.00°
Element x y z (fractional)
Pt 0.000 0.502 0.662
Pt 0.000 0.487 0.005
Pt 0.500 0.756 0.176
Pt 0.500 0.763 0.831
Pt 0.500 0.242 0.493
Cu 0.000 0.498 0.333
Cu 0.500 0.752 0.499
Cu 0.000 0.004 0.664
Cu 0.500 0.246 0.167
Cu 0.500 0.250 0.835
Cu 0.000 0.999 0.002
Cu 0.000 0.999 0.333

Output
DFT formation energy: -0.14 eV per atom
energy above the lowest structure with this stoichiometry: 0.008 eV per atom
DOS(E_F): 0.782 states/eV/atom
theoretical density: 14.42 g/cm3